[1]
# Tl2Cd2Cl PBE relaxed
# ΔE_f (raw) (eV per atom): -0.184
# Size of the total moment (μB/cell): 0.00
# Relative energy among the computed polymorphs (eV/atom): 0.036
data_Tl2Cd2Cl
_chemical_formula_sum 'Tl4 Cd4 Cl2'
_symmetry_space_group_name_H-M 'P 4/m b m'
_symmetry_Int_Tables_number 127
_symmetry_space_group_name_Hall '-P 4 2ab'
_cell_length_a 8.3105
_cell_length_b 8.3105
_cell_length_c 4.2111
_cell_angle_alpha 90.00
_cell_angle_beta 90.00
_cell_angle_gamma 90.00
loop_
_atom_site_label
_atom_site_fract_x
_atom_site_fract_y
_atom_site_fract_z
_atom_site_occupancy
Tl1 0.1711 0.3289 0.0000 1
Cd1 0.1335 0.6335 0.5000 1
Cl1 0.0000 0.0000 0.5000 1

***

[2]
# SnRuSCl2 PBE relaxed
# ΔE_f (raw) (eV per atom): -0.083
# Size of the total moment (μB/cell): 0.00
# Relative energy among the computed polymorphs (eV/atom): 0.000
data_SnRuSCl2
_chemical_formula_sum 'Sn1 Ru1 S1 Cl2'
_symmetry_space_group_name_H-M 'P 4/m m m'
_symmetry_Int_Tables_number 123
_symmetry_space_group_name_Hall '-P 4 2'
_cell_length_a 4.8529
_cell_length_b 4.8529
_cell_length_c 4.6156
_cell_angle_alpha 90.00
_cell_angle_beta 90.00
_cell_angle_gamma 90.00
loop_
_atom_site_label
_atom_site_fract_x
_atom_site_fract_y
_atom_site_fract_z
_atom_site_occupancy
Sn1 0.0000 0.0000 0.0000 1
Ru1 0.5000 0.5000 0.5000 1
S1 0.5000 0.5000 0.0000 1
Cl1 0.0000 0.5000 0.5000 1

***

- What is the formula in the second record?
  SnRuSCl2

***

- Look up the size of the total moment of the second one.
  0.00 μB/cell

***

- What is the relative energy among the computed polymorphs in the second record?
  0.000 eV/atom